1.
Material: Er8Ru3
Method: DFT, PBE
State: optimized geometry

Output
Its formation enthalpy at 0 K is -251 meV/atom. The space-group type is R-3.

Geometry as POSCAR:
```
Er8Ru3
1.0
4.648 2.683 3.911
-4.648 2.683 3.911
0.000 -5.367 3.911
Er Ru
8 3
direct
0.151 0.151 0.151 Er
0.165 0.653 0.340 Er
0.340 0.165 0.653 Er
0.347 0.660 0.835 Er
0.653 0.340 0.165 Er
0.660 0.835 0.347 Er
0.835 0.347 0.660 Er
0.849 0.849 0.849 Er
0.000 0.000 0.500 Ru
0.000 0.500 0.000 Ru
0.500 0.000 0.000 Ru
```


2.
Material: RuRh2W
Method: DFT, PBE
State: optimized geometry

Output
Its formation enthalpy at 0 K is 267 meV/atom. Its energy above the most stable polymorph in this dataset is 0.450 eV/atom. The space-group type is P2/m.

Geometry as POSCAR:
```
RuRh2W
1.0
4.300 0.000 0.000
0.000 2.695 0.000
-0.011 0.000 5.248
Ru Rh W
1 2 1
direct
0.000 0.000 0.000 Ru
0.499 0.500 0.242 Rh
0.501 0.500 0.758 Rh
0.000 0.500 0.500 W
```


3.
Material: ScFeNiPd2
Method: DFT, PBE
State: optimized geometry

Output
Its formation enthalpy at 0 K is 1063 meV/atom. The space-group type is P4/mmm.

Geometry as POSCAR:
```
ScFeNiPd2
1.0
4.686 0.000 0.000
0.000 4.686 0.000
0.000 0.000 4.401
Sc Fe Ni Pd
1 1 1 2
direct
0.000 0.000 0.000 Sc
0.000 0.000 0.500 Fe
0.500 0.500 0.500 Ni
0.000 0.500 0.000 Pd
0.500 0.000 0.000 Pd
```


4.
Material: Na2CaMn
Method: DFT, PBE
State: optimized geometry

Output
Its formation enthalpy at 0 K is 522 meV/atom. Its energy above the most stable polymorph in this dataset is 0.000 eV/atom. The space-group type is Fm-3m.

Geometry as POSCAR:
```
Na2CaMn
1.0
0.000 3.901 3.901
3.901 0.000 3.901
3.901 3.901 0.000
Na Ca Mn
2 1 1
direct
0.250 0.250 0.250 Na
0.750 0.750 0.750 Na
0.000 0.000 0.000 Ca
0.500 0.500 0.500 Mn
```


5.
Material: PrSmCdAg
Method: DFT, PBE
State: optimized geometry

Output
Its formation enthalpy at 0 K is -277 meV/atom. Its energy above the most stable polymorph in this dataset is 0.013 eV/atom. The space-group type is F-43m.

Geometry as POSCAR:
```
PrSmCdAg
1.0
0.000 3.800 3.800
3.800 0.000 3.800
3.800 3.800 0.000
Pr Sm Cd Ag
1 1 1 1
direct
0.000 0.000 0.000 Pr
0.500 0.500 0.500 Sm
0.750 0.750 0.750 Cd
0.250 0.250 0.250 Ag
```


6.
Material: MnCd2Pd8
Method: DFT, PBE
State: optimized geometry

Output
Its formation enthalpy at 0 K is -152 meV/atom. The space-group type is C2/m.

Geometry as POSCAR:
```
MnCd2Pd8
1.0
7.122 -2.214 0.000
7.122 2.214 0.000
-2.962 0.000 5.797
Mn Cd Pd
1 2 8
direct
0.000 0.000 0.000 Mn
0.303 0.303 0.304 Cd
0.697 0.697 0.696 Cd
0.138 0.138 0.419 Pd
0.140 0.140 0.860 Pd
0.340 0.340 0.839 Pd
0.499 0.499 0.282 Pd
0.501 0.501 0.718 Pd
0.660 0.660 0.161 Pd
0.860 0.860 0.140 Pd
0.862 0.862 0.581 Pd
```


7.
Material: Tb3Tl2Cd3
Method: DFT, PBE
State: optimized geometry

Output
Its formation enthalpy at 0 K is -231 meV/atom. Its energy above the most stable polymorph in this dataset is 0.022 eV/atom. The space-group type is C2/m.

Geometry as POSCAR:
```
Tb3Tl2Cd3
1.0
9.507 -2.258 0.000
9.507 2.258 0.000
-1.325 0.000 4.888
Tb Tl Cd
3 2 3
direct
0.000 0.000 0.000 Tb
0.133 0.133 0.631 Tb
0.867 0.867 0.369 Tb
0.242 0.242 0.240 Tl
0.758 0.758 0.760 Tl
0.378 0.378 0.881 Cd
0.500 0.500 0.500 Cd
0.622 0.622 0.119 Cd
```


8.
Material: Zr2ScBr
Method: DFT, PBE
State: optimized geometry

Output
The value obtained for the uncorrected formation energy is -0.0283 eV/atom. The space-group type is Imm2.

Geometry as POSCAR:
```
Zr2ScBr
1.0
-1.633 2.766 5.070
1.633 -2.766 5.070
1.633 2.766 -5.070
Zr Sc Br
2 1 1
direct
0.000 0.000 0.000 Zr
0.741 0.241 0.500 Zr
0.472 0.472 0.000 Sc
0.235 0.735 0.500 Br
```


9.
Material: ZrPb
Method: DFT, PBE
State: optimized geometry

Output
Its formation enthalpy at 0 K is 58 meV/atom. The space-group type is P-3m1.

Geometry as POSCAR:
```
ZrPb
1.0
3.320 0.000 0.000
-1.660 2.876 0.000
0.000 0.000 11.424
Zr Pb
2 2
direct
0.333 0.667 0.108 Zr
0.667 0.333 0.892 Zr
0.333 0.667 0.654 Pb
0.667 0.333 0.346 Pb
```


10.
Material: TiBr4
Method: DFT, PBE
State: optimized geometry

Output
The value obtained for the uncorrected formation energy is -0.6075 eV/atom. The space-group type is Pm-3m.

Geometry as POSCAR:
```
TiBr4
1.0
5.127 0.000 0.000
0.000 5.127 0.000
0.000 0.000 5.127
Ti Br
1 4
direct
0.000 0.000 0.000 Ti
0.000 0.000 0.500 Br
0.000 0.500 0.000 Br
0.500 0.000 0.000 Br
0.500 0.500 0.500 Br
```


11.
Material: Pm3CoHg
Method: DFT, PBE
State: optimized geometry

Output
Its formation enthalpy at 0 K is -223 meV/atom. Its energy above the most stable polymorph in this dataset is 0.013 eV/atom. The space-group type is P2_1/m.

Geometry as POSCAR:
```
Pm3CoHg
1.0
8.673 0.000 0.000
0.000 3.898 0.000
-3.078 0.000 8.134
Pm Co Hg
6 2 2
direct
0.037 0.250 0.180 Pm
0.238 0.750 0.547 Pm
0.390 0.750 0.190 Pm
0.610 0.250 0.810 Pm
0.762 0.250 0.453 Pm
0.963 0.750 0.820 Pm
0.421 0.250 0.440 Co
0.579 0.750 0.560 Co
0.258 0.250 0.860 Hg
0.742 0.750 0.140 Hg
```


12.
Material: Dy3Ho4Ge4
Method: DFT, PBE
State: optimized geometry

Output
Its formation enthalpy at 0 K is -607 meV/atom. The space-group type is Immm.

Geometry as POSCAR:
```
Dy3Ho4Ge4
1.0
-1.944 4.341 8.280
1.944 -4.341 8.280
1.944 4.341 -8.280
Dy Ho Ge
3 4 4
direct
0.000 0.000 0.000 Dy
0.400 0.900 0.500 Dy
0.600 0.100 0.500 Dy
0.014 0.329 0.685 Ho
0.356 0.671 0.685 Ho
0.644 0.329 0.315 Ho
0.986 0.671 0.315 Ho
0.267 0.267 0.000 Ge
0.279 0.500 0.779 Ge
0.721 0.500 0.221 Ge
0.733 0.733 0.000 Ge
```


13.
Material: AlTlPt2
Method: DFT, PBE
State: optimized geometry

Output
Its formation enthalpy at 0 K is -281 meV/atom. Its energy above the most stable polymorph in this dataset is 0.246 eV/atom. The space-group type is Immm.

Geometry as POSCAR:
```
AlTlPt2
1.0
-2.001 2.388 3.696
2.001 -2.388 3.696
2.001 2.388 -3.696
Al Tl Pt
1 1 2
direct
0.000 0.000 0.000 Al
0.500 0.500 0.000 Tl
0.212 0.712 0.500 Pt
0.788 0.288 0.500 Pt
```


14.
Material: DyUSn
Method: DFT, PBE
State: optimized geometry

Output
Its formation enthalpy at 0 K is -292 meV/atom. The space-group type is C2/m.

Geometry as POSCAR:
```
DyUSn
1.0
8.350 -1.903 0.000
8.350 1.903 0.000
-0.281 0.000 4.877
Dy U Sn
2 2 2
direct
0.072 0.072 0.256 Dy
0.928 0.928 0.744 Dy
0.260 0.260 0.673 U
0.740 0.740 0.327 U
0.395 0.395 0.233 Sn
0.605 0.605 0.767 Sn
```


15.
Material: CaMnIr2
Method: DFT, PBE
State: optimized geometry

Output
Its formation enthalpy at 0 K is 71 meV/atom. Its energy above the most stable polymorph in this dataset is 0.194 eV/atom. The space-group type is Cmmm.

Geometry as POSCAR:
```
CaMnIr2
1.0
2.981 -3.711 0.000
2.981 3.711 0.000
0.000 0.000 2.954
Ca Mn Ir
1 1 2
direct
0.000 0.000 0.000 Ca
0.500 0.500 0.000 Mn
0.000 0.500 0.500 Ir
0.500 0.000 0.500 Ir
```


16.
Material: AcAl12Ag4
Method: DFT, PBE
State: optimized geometry

Output
Its formation enthalpy at 0 K is 154 meV/atom. The space-group type is Im-3.

Geometry as POSCAR:
```
AcAl12Ag4
1.0
-4.513 4.513 4.513
4.513 -4.513 4.513
4.513 4.513 -4.513
Ac Al Ag
1 12 4
direct
0.000 0.000 0.000 Ac
0.154 0.354 0.508 Al
0.154 0.646 0.799 Al
0.201 0.846 0.354 Al
0.354 0.201 0.846 Al
0.354 0.508 0.154 Al
0.492 0.846 0.646 Al
0.508 0.154 0.354 Al
0.646 0.492 0.846 Al
0.646 0.799 0.154 Al
0.799 0.154 0.646 Al
0.846 0.354 0.201 Al
0.846 0.646 0.492 Al
0.000 0.000 0.500 Ag
0.000 0.500 0.000 Ag
0.500 0.000 0.000 Ag
0.500 0.500 0.500 Ag
```


17.
Material: RbGe3Os
Method: DFT, PBE
State: optimized geometry

Output
Its formation enthalpy at 0 K is 2773 meV/atom. Its energy above the most stable polymorph in this dataset is 2.416 eV/atom. The space-group type is Pm-3m.

Geometry as POSCAR:
```
RbGe3Os
1.0
5.360 0.000 0.000
0.000 5.360 0.000
0.000 0.000 5.360
Rb Ge Os
1 3 1
direct
0.000 0.000 0.000 Rb
0.000 0.000 0.500 Ge
0.000 0.500 0.000 Ge
0.500 0.000 0.000 Ge
0.500 0.500 0.500 Os
```


18.
Material: Er6Bi3Sb2Te
Method: DFT, PBE
State: optimized geometry

Output
The value obtained for the uncorrected formation energy is -0.9981 eV/atom. The space-group type is C2/m.

Geometry as POSCAR:
```
Er6Bi3Sb2Te
1.0
9.566 -2.197 0.000
9.566 2.197 0.000
-2.008 0.000 8.558
Er Bi Sb Te
6 3 2 1
direct
0.002 0.002 0.254 Er
0.332 0.332 0.421 Er
0.332 0.332 0.911 Er
0.668 0.668 0.089 Er
0.668 0.668 0.579 Er
0.998 0.998 0.746 Er
0.165 0.165 0.833 Bi
0.500 0.500 0.500 Bi
0.835 0.835 0.167 Bi
0.167 0.167 0.332 Sb
0.833 0.833 0.668 Sb
0.500 0.500 0.000 Te
```


19.
Material: KTaHg
Method: DFT, PBE
State: optimized geometry

Output
Its formation enthalpy at 0 K is 1224 meV/atom. Its energy above the most stable polymorph in this dataset is 0.937 eV/atom. The space-group type is P6_3/mmc.

Geometry as POSCAR:
```
KTaHg
1.0
4.602 0.000 0.000
-2.301 3.986 0.000
0.000 0.000 11.331
K Ta Hg
2 2 2
direct
0.000 0.000 0.000 K
0.000 0.000 0.500 K
0.333 0.667 0.250 Ta
0.667 0.333 0.750 Ta
0.333 0.667 0.750 Hg
0.667 0.333 0.250 Hg
```


20.
Material: Sn2PtI
Method: DFT, PBE
State: optimized geometry

Output
Its energy above the most stable polymorph in this dataset is 0.000 eV/atom. The value obtained for the uncorrected formation energy is -0.3344 eV/atom. The space-group type is R-3m.

Geometry as POSCAR:
```
Sn2PtI
1.0
2.023 1.168 7.839
-2.023 1.168 7.839
0.000 -2.336 7.839
Sn Pt I
2 1 1
direct
0.228 0.228 0.228 Sn
0.772 0.772 0.772 Sn
0.500 0.500 0.500 Pt
0.000 0.000 0.000 I
```


Fermi-level density of states: 7.82, 5.17, 4.80, 3.50, 4.05, 7.89, 4.17, 6.19, 3.54, 4.93, 11.81, 11.40, 1.49, 10.96, 2.99, 6.74, 4.26, 2.00, 4.55, 1.55 (states/eV/cell)